DFT (PBE) results for PmBiH after structural relaxation.

Summary:
Excess energy over the best structure of this formula in the dataset: 168 meV/atom
Mass density: 8.4 Mg/m³
N(E_F): 10.6 states/eV/cell
Space group: Pnna (52)

Cell and atoms, written as POSCAR:
```
PmBiH
1.0
6.766 0.000 0.000
0.000 8.096 0.000
0.000 0.000 10.207
Pm Bi H
8 8 8
Cartesian
0.851 2.024 2.552
1.691 0.000 5.842
1.691 4.048 9.468
2.532 6.072 2.552
4.234 2.024 7.655
5.074 0.000 4.364
5.074 4.048 0.739
5.915 6.072 7.655
0.296 1.078 9.037
0.296 2.970 6.273
3.086 5.126 6.273
3.086 7.018 9.037
3.679 1.078 1.170
3.679 2.970 3.933
6.469 5.126 3.933
6.469 7.018 1.170
0.464 0.491 4.088
0.464 3.557 1.015
2.919 4.539 1.015
2.919 7.604 4.088
3.847 0.491 6.119
3.847 3.557 9.191
6.301 4.539 9.191
6.301 7.604 6.119
```